Li2EuGe | GGA-PBEsol | optimized geometry

The value obtained for the density of states at the Fermi level is 2.4661 states/eV/atom. The symmetry is Fm-3m. The value obtained for the energy of formation from the pure elements is -435 meV per atom.

a = 4.6791 Å, b = 4.6791 Å, c = 4.6791 Å
α = 60.00°, β = 60.00°, γ = 60.00°
Element x y z (fractional)
Eu1 0.5000 0.5000 0.5000
Ge1 0.0000 0.0000 0.0000
Li1 0.2500 0.2500 0.2500
Li2 0.7500 0.7500 0.7500